Below is a geometry-optimized TaBRu3 structure, with properties calculated at the PBE-GGA level.

POSCAR file:
```
TaBRu3
1.0
-6.468 -9.553 -2.690
0.132 -6.437 3.431
1.408 2.543 6.691
Ru B Ta
12 4 4
Direct
0.013 0.294 0.054
0.621 0.683 0.163
0.121 0.337 0.817
0.513 0.446 0.206
0.987 0.706 0.946
0.519 0.695 0.468
0.481 0.305 0.532
0.379 0.317 0.837
0.981 0.968 0.195
0.487 0.554 0.794
0.019 0.032 0.805
0.879 0.663 0.183
0.750 0.200 0.700
0.250 0.800 0.300
0.250 0.516 0.016
0.750 0.484 0.984
0.373 0.097 0.573
0.873 0.927 0.403
0.627 0.903 0.427
0.127 0.073 0.597
```

Computed properties:
formation enthalpy at 0 K	-0.11	eV per atom
symmetry	C2/c, No. 15
final energy	-46.89	eV/f.u.

Below is a geometry-optimized GeP2Se4 structure, with properties calculated at the PBE-GGA level.

POSCAR file:
```
GeP2Se4
1.0
6.230 0.058 0.000
-2.949 5.488 0.000
-1.640 -2.773 5.332
Se P Ge
4 2 1
Direct
0.325 0.173 0.498
0.173 0.675 0.847
0.827 0.325 0.153
0.675 0.827 0.502
0.750 0.250 0.500
0.250 0.750 0.500
0.500 0.500 0.000
```

Computed properties:
uncorrected formation energy	238.6	meV/atom
symmetry	I4/m, No. 87
final energy	-27.70	eV/f.u.

Below is a geometry-optimized SbTe2Pd structure, with properties calculated at the PBE-GGA level.

POSCAR file:
```
SbTe2Pd
1.0
12.462 -0.027 -0.016
12.061 3.136 -0.016
12.061 1.529 2.738
Te Sb Pd
2 1 1
Direct
0.070 0.070 0.070
0.930 0.930 0.930
0.500 0.500 0.500
0.000 0.000 0.000
```

Computed properties:
uncorrected formation energy	232.5	meV/atom
symmetry	R-3m, No. 166
final energy	-14.67	eV/f.u.